# 1
{
  "formula": "Zr4Sn2H",
  "functional": "PBE-GGA",
  "state": "relaxed",
  "lattice_angstrom": [[4.1777, 0.0000, 0.0000], [0.0000, 4.1777, 0.0000], [0.0000, 0.0000, 16.0635]],
  "species": ["Zr", "Zr", "Zr", "Zr", "Zr", "Zr", "Zr", "Zr", "Sn", "Sn", "Sn", "Sn", "H", "H"],
  "fractional_positions": [[0.0000, 0.0000, 0.1778], [0.0000, 0.0000, 0.8222], [0.0000, 0.5000, 0.0000], [0.0000, 0.5000, 0.5000], [0.5000, 0.0000, 0.0000], [0.5000, 0.0000, 0.5000], [0.5000, 0.5000, 0.3222], [0.5000, 0.5000, 0.6778], [0.0000, 0.0000, 0.3613], [0.0000, 0.0000, 0.6387], [0.5000, 0.5000, 0.1387], [0.5000, 0.5000, 0.8613], [0.0000, 0.0000, 0.0000], [0.5000, 0.5000, 0.5000]],
  "e_above_lowest_polymorph_ev_per_atom": 0.000,
  "rho_g_cm3": 7.15,
  "dos_ef_per_ev_atom": 0.626
}

---

# 2
{
  "formula": "ZrSn2H",
  "functional": "PBE-GGA",
  "state": "relaxed",
  "lattice_angstrom": [[5.5439, 0.0000, 0.0000], [0.0000, 5.5439, 0.0000], [0.0000, 0.0000, 11.3169]],
  "species": ["Zr", "Zr", "Zr", "Zr", "Sn", "Sn", "Sn", "Sn", "Sn", "Sn", "Sn", "Sn", "H", "H", "H", "H"],
  "fractional_positions": [[0.0000, 0.0000, 0.0000], [0.0000, 0.5000, 0.2500], [0.5000, 0.0000, 0.7500], [0.5000, 0.5000, 0.5000], [0.0797, 0.2500, 0.6250], [0.2500, 0.5797, 0.8750], [0.2500, 0.9203, 0.3750], [0.4203, 0.2500, 0.1250], [0.5797, 0.7500, 0.1250], [0.7500, 0.0797, 0.3750], [0.7500, 0.4203, 0.8750], [0.9203, 0.7500, 0.6250], [0.0000, 0.0000, 0.5000], [0.0000, 0.5000, 0.7500], [0.5000, 0.0000, 0.2500], [0.5000, 0.5000, 0.0000]],
  "e_above_lowest_polymorph_ev_per_atom": 0.775,
  "rho_g_cm3": 6.30,
  "dos_ef_per_ev_atom": 0.601
}

---

# 3
{
  "formula": "ZrSnH2",
  "functional": "PBE-GGA",
  "state": "relaxed",
  "lattice_angstrom": [[5.9081, 0.0000, 0.0000], [0.0000, 3.4007, 0.0000], [-1.9490, 0.0000, 5.5044]],
  "species": ["Zr", "Zr", "Sn", "Sn", "H", "H", "H", "H"],
  "fractional_positions": [[0.0000, 0.0000, 0.0000], [0.5000, 0.5000, 0.0000], [0.1863, 0.0000, 0.5545], [0.6863, 0.5000, 0.5545], [0.1859, 0.5000, 0.0577], [0.3729, 0.0000, 0.1217], [0.6859, 0.0000, 0.0577], [0.8729, 0.5000, 0.1217]],
  "e_above_lowest_polymorph_ev_per_atom": 0.000,
  "rho_g_cm3": 6.36,
  "dos_ef_per_ev_atom": 0.192
}

---

# 4
{
  "formula": "Zr4Sn5H2",
  "functional": "PBE-GGA",
  "state": "relaxed",
  "lattice_angstrom": [[8.7091, -1.6199, 0.0000], [8.7091, 1.6199, 0.0000], [-0.2079, 0.0000, 7.9501]],
  "species": ["Zr", "Zr", "Zr", "Zr", "Sn", "Sn", "Sn", "Sn", "Sn", "H", "H"],
  "fractional_positions": [[0.0050, 0.0050, 0.3150], [0.3379, 0.3379, 0.4370], [0.6621, 0.6621, 0.5630], [0.9950, 0.9950, 0.6850], [0.1547, 0.1547, 0.8860], [0.1805, 0.1805, 0.2485], [0.5000, 0.5000, 0.0000], [0.8195, 0.8195, 0.7515], [0.8453, 0.8453, 0.1140], [0.4526, 0.4526, 0.4301], [0.5474, 0.5474, 0.5699]],
  "rho_g_cm3": 7.11,
  "e_tot_ev_per_atom": -5.77,
  "dos_ef_per_ev_atom": 0.575
}

---

# 5
{
  "formula": "Zr3Sn3H2",
  "functional": "PBE-GGA",
  "state": "relaxed",
  "lattice_angstrom": [[1.9246, -5.3687, 0.0000], [1.9246, 5.3687, 0.0000], [0.0000, 0.0000, 14.0338]],
  "species": ["Zr", "Zr", "Zr", "Zr", "Zr", "Zr", "Sn", "Sn", "Sn", "Sn", "Sn", "Sn", "H", "H", "H", "H"],
  "fractional_positions": [[0.1540, 0.8460, 0.5497], [0.1540, 0.8460, 0.9503], [0.1665, 0.8335, 0.2500], [0.8335, 0.1665, 0.7500], [0.8460, 0.1540, 0.0497], [0.8460, 0.1540, 0.4503], [0.1167, 0.8833, 0.7500], [0.4439, 0.5561, 0.6074], [0.4439, 0.5561, 0.8926], [0.5561, 0.4439, 0.1074], [0.5561, 0.4439, 0.3926], [0.8833, 0.1167, 0.2500], [0.2687, 0.7313, 0.0682], [0.2687, 0.7313, 0.4318], [0.7313, 0.2687, 0.5682], [0.7313, 0.2687, 0.9318]],
  "rho_g_cm3": 7.24,
  "e_tot_ev_per_atom": -5.92,
  "dos_ef_per_ev_atom": 0.382
}

---

# 6
{
  "formula": "ZrSnH2",
  "functional": "PBE-GGA",
  "state": "relaxed",
  "lattice_angstrom": [[5.9243, 0.0000, 0.0000], [0.0000, 5.9243, 0.0000], [0.0000, 0.0000, 5.9243]],
  "species": ["Zr", "Zr", "Zr", "Zr", "Sn", "Sn", "Sn", "Sn", "H", "H", "H", "H", "H", "H", "H", "H"],
  "fractional_positions": [[0.0000, 0.0000, 0.0000], [0.0000, 0.5000, 0.5000], [0.5000, 0.0000, 0.5000], [0.5000, 0.5000, 0.0000], [0.0000, 0.0000, 0.5000], [0.0000, 0.5000, 0.0000], [0.5000, 0.0000, 0.0000], [0.5000, 0.5000, 0.5000], [0.2500, 0.2500, 0.2500], [0.2500, 0.2500, 0.7500], [0.2500, 0.7500, 0.2500], [0.2500, 0.7500, 0.7500], [0.7500, 0.2500, 0.2500], [0.7500, 0.2500, 0.7500], [0.7500, 0.7500, 0.2500], [0.7500, 0.7500, 0.7500]],
  "e_above_lowest_polymorph_ev_per_atom": 0.721,
  "rho_g_cm3": 6.77,
  "dos_ef_per_ev_atom": 0.428
}

---

# 7
{
  "formula": "Zr7Sn2H2",
  "functional": "PBE-GGA",
  "state": "relaxed",
  "lattice_angstrom": [[3.8684, -4.6152, 0.0000], [3.8684, 4.6152, 0.0000], [-0.7661, 0.0000, 5.9855]],
  "species": ["Zr", "Zr", "Zr", "Zr", "Zr", "Zr", "Zr", "Sn", "Sn", "H", "H"],
  "fractional_positions": [[0.0000, 0.0000, 0.0000], [0.1578, 0.4999, 0.8275], [0.3302, 0.3302, 0.3425], [0.4999, 0.1578, 0.8275], [0.5001, 0.8422, 0.1725], [0.6698, 0.6698, 0.6575], [0.8422, 0.5001, 0.1725], [0.1681, 0.8319, 0.5000], [0.8319, 0.1681, 0.5000], [0.2585, 0.2585, 0.9985], [0.7415, 0.7415, 0.0015]],
  "rho_g_cm3": 6.82,
  "e_tot_ev_per_atom": -7.07,
  "dos_ef_per_ev_atom": 0.753
}

---

# 8
{
  "formula": "Zr2SnH",
  "functional": "PBE-GGA",
  "state": "relaxed",
  "lattice_angstrom": [[3.8425, 0.0000, 0.0000], [-1.9212, 3.3277, 0.0000], [0.0000, 0.0000, 21.8517]],
  "species": ["Zr", "Zr", "Zr", "Zr", "Zr", "Zr", "Sn", "Sn", "Sn", "H", "H", "H"],
  "fractional_positions": [[0.0000, 0.0000, 0.0843], [0.0000, 0.0000, 0.9157], [0.3333, 0.6667, 0.5823], [0.3333, 0.6667, 0.7510], [0.6667, 0.3333, 0.2490], [0.6667, 0.3333, 0.4177], [0.0000, 0.0000, 0.5000], [0.3333, 0.6667, 0.1667], [0.6667, 0.3333, 0.8333], [0.0000, 0.0000, 0.0000], [0.3333, 0.6667, 0.6667], [0.6667, 0.3333, 0.3333]],
  "e_above_lowest_polymorph_ev_per_atom": 0.503,
  "rho_g_cm3": 5.39,
  "dos_ef_per_ev_atom": 1.202
}

---

# 9
{
  "formula": "ZrSnH3",
  "functional": "PBE-GGA",
  "state": "relaxed",
  "lattice_angstrom": [[3.8956, 0.0000, 0.0000], [0.0000, 3.8956, 0.0000], [0.0000, 0.0000, 3.8956]],
  "species": ["Zr", "Sn", "H", "H", "H"],
  "fractional_positions": [[0.0000, 0.0000, 0.0000], [0.5000, 0.5000, 0.5000], [0.0000, 0.5000, 0.5000], [0.5000, 0.0000, 0.5000], [0.5000, 0.5000, 0.0000]],
  "e_above_lowest_polymorph_ev_per_atom": 0.697,
  "rho_g_cm3": 5.98,
  "dos_ef_per_ev_atom": 1.000
}

---

# 10
{
  "formula": "ZrSnH2",
  "functional": "PBE-GGA",
  "state": "relaxed",
  "lattice_angstrom": [[4.2490, 0.0000, 0.0000], [0.0000, 4.2490, 0.0000], [0.0000, 0.0000, 12.4361]],
  "species": ["Zr", "Zr", "Zr", "Zr", "Sn", "Sn", "Sn", "Sn", "H", "H", "H", "H", "H", "H", "H", "H"],
  "fractional_positions": [[0.0000, 0.0000, 0.0000], [0.0000, 0.5000, 0.2500], [0.5000, 0.0000, 0.7500], [0.5000, 0.5000, 0.5000], [0.0000, 0.0000, 0.5000], [0.0000, 0.5000, 0.7500], [0.5000, 0.0000, 0.2500], [0.5000, 0.5000, 0.0000], [0.1060, 0.7500, 0.1250], [0.2500, 0.1060, 0.8750], [0.2500, 0.3940, 0.3750], [0.3940, 0.7500, 0.6250], [0.6060, 0.2500, 0.6250], [0.7500, 0.6060, 0.3750], [0.7500, 0.8940, 0.8750], [0.8940, 0.2500, 0.1250]],
  "e_above_lowest_polymorph_ev_per_atom": 0.190,
  "rho_g_cm3": 6.27,
  "dos_ef_per_ev_atom": 0.000
}

---

# 11
{
  "formula": "Zr7Sn3H2",
  "functional": "PBE-GGA",
  "state": "relaxed",
  "lattice_angstrom": [[-2.1245, 2.1245, 12.8341], [2.1245, -2.1245, 12.8341], [2.1245, 2.1245, -12.8341]],
  "species": ["Zr", "Zr", "Zr", "Zr", "Zr", "Zr", "Zr", "Sn", "Sn", "Sn", "H", "H"],
  "fractional_positions": [[0.0000, 0.0000, 0.0000], [0.0946, 0.5946, 0.5000], [0.2035, 0.2035, 0.0000], [0.4054, 0.9054, 0.5000], [0.5946, 0.0946, 0.5000], [0.7965, 0.7965, 0.0000], [0.9054, 0.4054, 0.5000], [0.3185, 0.3185, 0.0000], [0.5000, 0.5000, 0.0000], [0.6815, 0.6815, 0.0000], [0.0821, 0.0821, 0.0000], [0.9179, 0.9179, 0.0000]],
  "rho_g_cm3": 7.14,
  "e_tot_ev_per_atom": -7.04,
  "dos_ef_per_ev_atom": 0.584
}

---

# 12
{
  "formula": "Zr2SnH",
  "functional": "PBE-GGA",
  "state": "relaxed",
  "lattice_angstrom": [[6.7540, 0.0000, 0.0000], [0.0000, 6.7540, 0.0000], [0.0000, 0.0000, 6.7540]],
  "species": ["Zr", "Zr", "Zr", "Zr", "Zr", "Zr", "Zr", "Zr", "Sn", "Sn", "Sn", "Sn", "H", "H", "H", "H"],
  "fractional_positions": [[0.2500, 0.2500, 0.2500], [0.2500, 0.2500, 0.7500], [0.2500, 0.7500, 0.2500], [0.2500, 0.7500, 0.7500], [0.7500, 0.2500, 0.2500], [0.7500, 0.2500, 0.7500], [0.7500, 0.7500, 0.2500], [0.7500, 0.7500, 0.7500], [0.0000, 0.0000, 0.0000], [0.0000, 0.5000, 0.5000], [0.5000, 0.0000, 0.5000], [0.5000, 0.5000, 0.0000], [0.0000, 0.0000, 0.5000], [0.0000, 0.5000, 0.0000], [0.5000, 0.0000, 0.0000], [0.5000, 0.5000, 0.5000]],
  "e_above_lowest_polymorph_ev_per_atom": 0.360,
  "rho_g_cm3": 6.51,
  "dos_ef_per_ev_atom": 0.756
}